Compound: Sr2MgNi3Sn4
Source: Alexandria
Functional: PBE
Structure: optimized geometry

Cell lengths 4.549, 4.549, 10.919 Å; angles 90.00, 90.00, 90.00 degrees
Element x y z (fractional)
Sr  0.000  0.500  0.246
Sr  0.500  0.000  0.754
Mg  0.000  0.000  0.500
Ni  0.000  0.500  0.881
Ni  0.500  0.000  0.119
Ni  0.500  0.500  0.500
Sn  0.000  0.000  0.000
Sn  0.000  0.500  0.646
Sn  0.500  0.000  0.354
Sn  0.500  0.500  0.000

Symmetry: P-4m2 (115)
N(E_F) (states/eV/cell): 5.2
Magnetic moment (μB per cell): 0.00
DFT formation energy (eV/atom): -0.39
V (Å³/atom): 22.601